A geometry-optimized RbHg3Te4Pd structure. Source: the Open Quantum Materials Database, functional PBE.

Geometry as POSCAR:
```
RbHg3Te4Pd
1.0
7.154 0.000 0.000
0.000 7.154 0.000
0.000 0.000 7.154
Te Hg Rb Pd
4 3 1 1
Direct
0.784 0.784 0.784 Te
0.216 0.216 0.784 Te
0.216 0.784 0.216 Te
0.784 0.216 0.216 Te
0.000 0.500 0.000 Hg
0.000 0.000 0.500 Hg
0.500 0.000 0.000 Hg
0.500 0.500 0.500 Rb
0.000 0.000 0.000 Pd
```

Properties
Total DFT energy (no corrections): -20.9 eV per cell
SG: P-43m, No. 215

***

A geometry-optimized TmNbN2O structure. Source: the Open Quantum Materials Database, functional PBE.

Geometry as POSCAR:
```
TmNbN2O
1.0
-4.674 -0.683 -3.157
4.255 -3.516 -5.540
-0.897 -4.822 2.372
Tm N Nb O
4 8 4 4
Direct
0.936 0.250 0.975 Tm
0.436 0.250 0.525 Tm
0.564 0.750 0.475 Tm
0.064 0.750 0.025 Tm
0.797 0.934 0.201 N
0.703 0.066 0.701 N
0.703 0.434 0.701 N
0.297 0.934 0.299 N
0.203 0.434 0.799 N
0.797 0.566 0.201 N
0.297 0.566 0.299 N
0.203 0.066 0.799 N
0.000 0.000 0.500 Nb
0.500 0.000 0.000 Nb
0.000 0.500 0.500 Nb
0.500 0.500 0.000 Nb
0.453 0.750 0.869 O
0.047 0.250 0.369 O
0.953 0.750 0.631 O
0.547 0.250 0.131 O
```

Properties
Total DFT energy (no corrections): -180.2 eV per cell
M_tot: 0.00 μB/cell
SG: Pnma, No. 62

***

A geometry-optimized NbFeSiPt structure. Source: the Open Quantum Materials Database, functional PBE.

Geometry as POSCAR:
```
NbFeSiPt
1.0
3.646 -2.375 0.185
-0.012 -4.121 -1.410
2.101 -1.053 -3.667
Nb Si Fe Pt
1 1 1 1
Direct
0.500 0.500 0.500 Nb
0.000 0.000 0.000 Si
0.750 0.750 0.750 Fe
0.250 0.250 0.250 Pt
```

Properties
M_tot: 1.86 μB/cell
SG: F-43m, No. 216
Polymorph energy (0 for the lowest one): 0.0 meV per atom